No. 1
The following is a DFT calculation (PBE) of an optimized crystal structure of TiHgBi2C.

## Properties
Final energy in eV per atom: -3.471
Fermi-level density of states in states/eV/cell: 7.043
Spin magnetization in μB per formula unit: 1.902

Lattice parameters (Å, degrees): 5.3477 5.3477 5.4362 90.00 90.00 90.00
With the nearest neighbours (Å) after each atom.
Sites, in units of the cell vectors:
Ti1 0.0000 0.0000 0.0000  4 Bi 2.67, 2 Hg 2.72
Hg1 0.0000 0.0000 0.5000  2 Ti 2.72
Bi1 0.0000 0.5000 0.0000  2 Ti 2.67
Bi2 0.5000 0.0000 0.0000  2 Ti 2.67
C1 0.5000 0.5000 0.5000  4 Hg 3.78, 8 Bi 3.81

No. 2
The following is a DFT calculation (PBE) of an optimized crystal structure of TbSm4N5.

## Properties
Fermi-level density of states in states/eV/cell: 0.487
Spin magnetization in μB per formula unit: 0.000
Energy relative to the elements, uncorrected in eV/atom: -1.5150

Lattice parameters (Å, degrees): 6.1811 6.1811 6.1811 99.65 99.65 131.66
With the nearest neighbours (Å) after each atom.
Sites, in units of the cell vectors:
Tb1 0.0000 0.0000 0.0000  6 N 2.45-2.61
Sm1 0.1991 0.5987 0.8010  6 N 2.48-2.58
Sm2 0.3981 0.1991 0.6004  6 N 2.48-2.58
Sm3 0.5987 0.7977 0.3996  6 N 2.48-2.58
Sm4 0.7977 0.3981 0.1990  6 N 2.48-2.58
N1 0.0873 0.2850 0.3953  5 Sm 2.48-2.58, 1 Tb 2.49
N2 0.2850 0.8897 0.1977  5 Sm 2.48-2.58, 1 Tb 2.49
N3 0.4840 0.4840 0.0000  2 Tb 2.45-2.61, 4 Sm 2.52
N4 0.6920 0.0873 0.8023  5 Sm 2.48-2.58, 1 Tb 2.49
N5 0.8897 0.6920 0.6047  5 Sm 2.48-2.58, 1 Tb 2.49

No. 3
The following is a DFT calculation (PBE) of an optimized crystal structure of TiV3In.

## Properties
Fermi-level density of states in states/eV/cell: 11.616
Spin magnetization in μB per formula unit: 0.554
E above lowest polymorph in meV per atom: 825.8

Lattice parameters (Å, degrees): 4.7882 4.7882 4.7882 90.00 90.00 90.00
With the nearest neighbours (Å) after each atom.
Sites, in units of the cell vectors:
Ti1 0.0000 0.0000 0.0000  12 V 3.39
V1 0.0000 0.5000 0.5000  2 In 2.39
V2 0.5000 0.0000 0.5000  2 In 2.39
V3 0.5000 0.5000 0.0000  2 In 2.39
In1 0.5000 0.5000 0.5000  6 V 2.39

No. 4
The following is a DFT calculation (PBE) of an optimized crystal structure of Gd2CuIr.

## Properties
Final energy in eV per atom: -10.650
Fermi-level density of states in states/eV/cell: 2.542
Spin magnetization in μB per formula unit: 14.316

Lattice parameters (Å, degrees): 7.0382 7.0382 7.0382 34.02 34.02 34.02
With the nearest neighbours (Å) after each atom.
Sites, in units of the cell vectors:
Gd1 0.2427 0.2427 0.2427  3 Ir 2.82, 3 Cu 2.98
Gd2 0.7573 0.7573 0.7573  3 Ir 2.82, 3 Cu 2.98
Cu1 0.0000 0.0000 0.0000  6 Gd 2.98
Ir1 0.5000 0.5000 0.5000  6 Gd 2.82

No. 5
The following is a DFT calculation (PBE) of an optimized crystal structure of LiIr2Ru.

## Properties
Fermi-level density of states in states/eV/cell: 6.780
Spin magnetization in μB per formula unit: 0.987
E above lowest polymorph in meV per atom: 219.2

Lattice parameters (Å, degrees): 4.2736 4.2736 4.2736 60.00 60.00 60.00
With the nearest neighbours (Å) after each atom.
Sites, in units of the cell vectors:
Li1 0.0000 0.0000 0.0000  8 Ir 2.62
Ir1 0.2500 0.2500 0.2500  4 Li 2.62, 4 Ru 2.62
Ir2 0.7500 0.7500 0.7500  4 Li 2.62, 4 Ru 2.62
Ru1 0.5000 0.5000 0.5000  8 Ir 2.62

No. 6
The following is a DFT calculation (PBE) of an optimized crystal structure of CsInHgI2.

## Properties
Fermi-level density of states in states/eV/cell: 0.679
Spin magnetization in μB per formula unit: 0.000
E above lowest polymorph in meV per atom: 5.9
Energy relative to the elements, uncorrected in eV/atom: -0.7533

Lattice parameters (Å, degrees): 6.5130 6.5130 5.7014 90.00 90.00 90.00
With the nearest neighbours (Å) after each atom.
Sites, in units of the cell vectors:
Cs1 0.0000 0.0000 0.0000  8 I 4.33, 4 Hg 4.61
In1 0.5000 0.5000 0.5000  2 Hg 2.85
Hg1 0.5000 0.5000 0.0000  2 In 2.85
I1 0.0000 0.5000 0.5000  2 In 3.26
I2 0.5000 0.0000 0.5000  2 In 3.26